1.
Computed, not measured: a relaxed Ac2P4Pd3Pt crystal at the GGA-PBE level of DFT.

Cell lengths 4.4218, 4.4218, 9.7370 Å; angles 90.00, 90.00, 90.00 degrees
Fractional coordinates of all 10 atoms:
Pd  0.5000  0.0000  0.8874
Pd  0.0000  0.5000  0.1126
Pd  0.0000  0.0000  0.5000
P  0.0000  0.0000  0.0000
P  0.5000  0.5000  0.0000
P  0.0000  0.5000  0.3702
P  0.5000  0.0000  0.6298
Ac  0.0000  0.5000  0.7537
Ac  0.5000  0.0000  0.2463
Pt  0.5000  0.5000  0.5000

Summary:
N(E_F) in states/eV per atom: 0.405
Space-group type: P-4m2, No. 115
Formation energy from the elements in eV/f.u.: -9.5

2.
Computed, not measured: a relaxed Sc2Be2Si crystal at the GGA-PBE level of DFT.

Cell lengths 6.1095, 6.1095, 4.0318 Å; angles 90.00, 90.00, 90.00 degrees
Fractional coordinates of all 10 atoms:
Sc  0.3278  0.1722  0.5000
Sc  0.6722  0.8278  0.5000
Sc  0.1722  0.6722  0.5000
Sc  0.8278  0.3278  0.5000
Be  0.1244  0.3756  0.0000
Be  0.6244  0.1244  0.0000
Be  0.3756  0.8756  0.0000
Be  0.8756  0.6244  0.0000
Si  0.0000  0.0000  0.0000
Si  0.5000  0.5000  0.0000

Summary:
N(E_F) in states/eV per atom: 0.353
Space-group type: P4/mbm, No. 127
Energy relative to the elements, uncorrected in eV per atom: -0.3574

3.
Computed, not measured: a relaxed Ac4PrOs crystal at the GGA-PBE level of DFT.

Cell lengths 6.0613, 8.1729, 10.6571 Å; angles 90.00, 106.52, 90.00 degrees
Fractional coordinates of all 12 atoms:
Ac  0.2999  0.0315  0.5999
Ac  0.4981  0.0251  0.9962
Ac  0.1092  0.7806  0.2184
Ac  0.5019  0.5251  0.0038
Ac  0.6968  0.0351  0.3936
Ac  0.3032  0.5351  0.6064
Ac  0.7001  0.5315  0.4001
Ac  0.8908  0.2806  0.7816
Pr  0.1205  0.2813  0.2411
Pr  0.8795  0.7813  0.7589
Os  0.4015  0.2798  0.8030
Os  0.5985  0.7798  0.1970

Summary:
N(E_F) in states/eV per atom: 1.131
Space-group type: Cmc2_1, No. 36
Formation energy from the elements in eV/f.u.: 0.5